Record 1
Computed, not measured: a geometry-optimized Cd2Sn2Bi structure at the PBE level of DFT.

Lattice parameters (Å, degrees): 8.4821 8.4821 3.7791 90.00 90.00 90.00
Last column: nearest neighbours and their distance in Å.
Sites, in units of the cell vectors:
Cd: 0.3765 0.8765 0.0000  1 Cd 2.96, 6 Sn 3.03-3.22
Cd: 0.8765 0.6235 0.0000  1 Cd 2.96, 6 Sn 3.03-3.22
Cd: 0.6235 0.1235 0.0000  1 Cd 2.96, 6 Sn 3.03-3.22
Cd: 0.1235 0.3765 0.0000  1 Cd 2.96, 6 Sn 3.03-3.22
Bi: 0.0000 0.0000 0.0000  4 Cd 3.36, 8 Sn 3.65
Bi: 0.5000 0.5000 0.0000  4 Cd 3.36, 8 Sn 3.65
Sn: 0.1790 0.6790 0.5000  6 Cd 3.03-3.22
Sn: 0.6790 0.8210 0.5000  6 Cd 3.03-3.22
Sn: 0.8210 0.3210 0.5000  6 Cd 3.03-3.22
Sn: 0.3210 0.1790 0.5000  6 Cd 3.03-3.22

## Properties
Distance to the lowest polymorph of the same formula ... 0.364 kcal/mol of atoms
Symmetry ... P4/mbm, No. 127
Calculated volume ... 271.9 Å³ per cell
Electronic total energy ... -26.39 eV for the cell shown

=====

Record 2
Computed, not measured: a geometry-optimized Cs2Pr2PbO6 structure at the PBE level of DFT.

Lattice parameters (Å, degrees): 6.2740 6.2740 7.3526 97.56 97.56 119.92
Last column: nearest neighbours and their distance in Å.
Sites, in units of the cell vectors:
Cs: 0.8352 0.1648 0.0000  6 O 3.09-3.28
Cs: 0.1648 0.8352 0.0000  6 O 3.09-3.28
Pr: 0.3345 0.6655 0.5000  6 O 2.41-2.46
Pr: 0.6655 0.3345 0.5000  6 O 2.41-2.46
Pb: 0.0000 0.0000 0.5000  6 O 2.24-2.31
O: 0.7448 0.7448 0.6623  1 Pb 2.24, 2 Pr 2.46
O: 0.0452 0.3670 0.6616  1 Pb 2.31, 2 Pr 2.41-2.44
O: 0.2552 0.2552 0.3377  1 Pb 2.24, 2 Pr 2.46
O: 0.3670 0.0452 0.6616  1 Pb 2.31, 2 Pr 2.41-2.44
O: 0.9548 0.6330 0.3384  1 Pb 2.31, 2 Pr 2.41-2.44
O: 0.6330 0.9548 0.3384  1 Pb 2.31, 2 Pr 2.41-2.44

## Properties
Symmetry ... C2/m, No. 12
Calculated volume ... 242.0 Å³ per cell
Electronic total energy ... -67.46 eV for the cell shown

=====

Record 3
Computed, not measured: a geometry-optimized Be2AsPt structure at the PBE level of DFT.

Lattice parameters (Å, degrees): 4.3584 4.3584 2.7558 90.00 90.00 104.55
Last column: nearest neighbours and their distance in Å.
Sites, in units of the cell vectors:
Be: 0.0000 0.0000 0.0000  4 Pt 2.58, 4 As 2.58, 4 Be 2.67-2.76
Be: 0.5000 0.5000 0.0000  4 As 2.58, 4 Pt 2.58, 4 Be 2.67-2.76
As: 0.0000 0.5000 0.5000  8 Be 2.58, 2 Pt 2.67, 2 As 2.76
Pt: 0.5000 0.0000 0.5000  8 Be 2.58, 2 As 2.67, 2 Pt 2.76

## Properties
Symmetry ... Cmmm, No. 65
Calculated volume ... 50.7 Å³ per cell
Electronic total energy ... -18.47 eV for the cell shown

=====

Record 4
Computed, not measured: a geometry-optimized LiMg2Au4 structure at the PBE level of DFT.

Lattice parameters (Å, degrees): 4.5375 4.5375 7.5711 72.56 72.56 90.00
Last column: nearest neighbours and their distance in Å.
Sites, in units of the cell vectors:
Mg: 0.3712 0.3712 0.2576  5 Au 2.62-2.88
Mg: 0.6288 0.6288 0.7424  5 Au 2.62-2.88
Au: 0.1805 0.1805 0.6391  1 Li 2.48, 1 Mg 2.62
Au: 0.8195 0.8195 0.3609  1 Li 2.48, 1 Mg 2.62
Au: 0.0000 0.5000 0.0000  2 Li 2.27
Au: 0.5000 0.0000 0.0000  2 Li 2.27
Li: 0.0000 0.0000 0.0000  6 Au 2.27-2.48

## Properties
Distance to the lowest polymorph of the same formula ... 6.784 kcal/mol of atoms
Symmetry ... I4/mmm, No. 139
Calculated volume ... 141.2 Å³ per cell
Electronic total energy ... -19.22 eV for the cell shown

=====

Record 5
Computed, not measured: a geometry-optimized KTe2O structure at the PBE level of DFT.

Lattice parameters (Å, degrees): 6.2904 6.2904 7.9661 66.75 66.75 90.00
Last column: nearest neighbours and their distance in Å.
Sites, in units of the cell vectors:
K: 0.0000 0.0000 0.0000  8 Te 3.88-3.89
K: 0.7500 0.2500 0.5000  8 Te 3.88-3.89
Te: 0.3749 0.1250 0.2500  2 O 2.28
Te: 0.3751 0.6250 0.2500  2 O 2.28
Te: 0.3750 0.6251 0.7500  2 O 2.28
Te: 0.8750 0.6249 0.7500  2 O 2.28
O: 0.5000 0.5000 0.0000  4 Te 2.28
O: 0.2500 0.7500 0.5000  4 Te 2.28

## Properties
Symmetry ... I4_1/amd, No. 141
Calculated volume ... 261.5 Å³ per cell
Electronic total energy ... -29.17 eV for the cell shown

=====

Record 6
Computed, not measured: a geometry-optimized MgPa2CuO8 structure at the PBE level of DFT.

Lattice parameters (Å, degrees): 5.2232 5.2232 6.0999 90.00 90.00 120.00
Last column: nearest neighbours and their distance in Å.
Sites, in units of the cell vectors:
Mg: 0.0000 0.0000 0.5000  6 O 2.48
Pa: 0.6667 0.3333 0.1442  1 O 1.86
Pa: 0.3333 0.6667 0.8558  1 O 1.86
Cu: 0.0000 0.0000 0.0000  6 O 1.88
O: 0.8310 0.6620 0.8195  1 Cu 1.88
O: 0.3380 0.1690 0.8195  1 Cu 1.88
O: 0.8310 0.1690 0.8195  1 Cu 1.88
O: 0.1690 0.3380 0.1805  1 Cu 1.88
O: 0.6620 0.8310 0.1805  1 Cu 1.88
O: 0.1690 0.8310 0.1805  1 Cu 1.88
O: 0.6667 0.3333 0.4486  1 Pa 1.86
O: 0.3333 0.6667 0.5514  1 Pa 1.86

## Properties
Symmetry ... P-3m1, No. 164
Calculated volume ... 144.1 Å³ per cell
Electronic total energy ... -89.63 eV for the cell shown